# V3GeN (GGA-PBE, optimized geometry)
data_V3GeN
_chemical_formula_sum 'V12 Ge4 N4'
_cell_length_a 3.012
_cell_length_b 10.161
_cell_length_c 7.848
_cell_angle_alpha 90.00
_cell_angle_beta 90.00
_cell_angle_gamma 90.00
_symmetry_space_group_name_H-M 'C m c m'
_symmetry_Int_Tables_number 63
_symmetry_space_group_name_Hall '-C 2c 2'
loop_
_atom_site_label
_atom_site_type_symbol
_atom_site_fract_x
_atom_site_fract_y
_atom_site_fract_z
_atom_site_occupancy
V1 V 0.000 0.028 0.250 1
V2 V 0.000 0.373 0.046 1
Ge1 Ge 0.000 0.260 0.750 1
N1 N 0.000 0.000 0.000 1
# E_form (uncorrected), eV/atom: -0.722